[1]
This record from Alexandria via LeMat-Bulk describes TiGaIrRh after structural relaxation. The functional is PBE-GGA.

Lattice parameters (Å, degrees): 4.1181 4.1181 6.8467 90.00 90.00 90.00
Fractional coordinates of all 8 atoms:
Ti 0.0000 0.0000 0.0000
Ti 0.5000 0.5000 0.5000
Ga 0.0000 0.0000 0.5000
Ga 0.5000 0.5000 0.0000
Ir 0.0000 0.5000 0.7500
Ir 0.5000 0.0000 0.2500
Rh 0.0000 0.5000 0.2500
Rh 0.5000 0.0000 0.7500

Output
Its space group is I-4m2. Its formation enthalpy at 0 K is -840 meV/atom.


[2]
This record from Alexandria via LeMat-Bulk describes CuAg5Cl7 after structural relaxation. The functional is PBE-GGA.

Lattice parameters (Å, degrees): 3.8050 6.6873 24.8353 90.72 93.36 103.74
Fractional coordinates of all 26 atoms:
Cu 0.0000 0.0000 0.0000
Cu 0.2891 0.9514 0.4867
Ag 0.0733 0.3983 0.6020
Ag 0.1460 0.4756 0.2434
Ag 0.2146 0.5548 0.8844
Ag 0.3511 0.9403 0.6661
Ag 0.3627 0.9790 0.1648
Ag 0.5257 0.4826 0.0870
Ag 0.6440 0.4767 0.7432
Ag 0.7653 0.4693 0.3998
Ag 0.9290 0.9728 0.3222
Ag 0.9366 0.0130 0.8203
Cl 0.0278 0.2594 0.1410
Cl 0.0780 0.7587 0.0642
Cl 0.2124 0.1926 0.4224
Cl 0.2634 0.6917 0.3457
Cl 0.2915 0.7548 0.7777
Cl 0.4486 0.1496 0.5673
Cl 0.5723 0.2168 0.2796
Cl 0.5825 0.2962 0.8469
Cl 0.5856 0.1996 0.0017
Cl 0.7036 0.7519 0.4850
Cl 0.7050 0.6569 0.6396
Cl 0.7192 0.7339 0.2068
Cl 0.8395 0.8033 0.9191
Cl 0.9964 0.1985 0.7088

Output
Its space group is P1. The calculation puts the formation energy from raw total energies at -0.43 eV/atom.


[3]
This record from Alexandria via LeMat-Bulk describes Pm2ErHf after structural relaxation. The functional is PBE-GGA.

Lattice parameters (Å, degrees): 3.4712 3.4712 34.0172 90.00 90.00 120.00
Fractional coordinates of all 12 atoms:
Pm 0.0000 0.0000 0.0000
Pm 0.0000 0.0000 0.1763
Pm 0.3333 0.6667 0.6667
Pm 0.3333 0.6667 0.8429
Pm 0.6667 0.3333 0.3333
Pm 0.6667 0.3333 0.5096
Er 0.0000 0.0000 0.4207
Er 0.3333 0.6667 0.0874
Er 0.6667 0.3333 0.7540
Hf 0.0000 0.0000 0.5884
Hf 0.3333 0.6667 0.2551
Hf 0.6667 0.3333 0.9217

Output
Its space group is R3m. The offset from the most stable computed form is 0.000 eV per atom. Its formation enthalpy at 0 K is 156 meV/atom.


[4]
This record from Alexandria via LeMat-Bulk describes Cs4SnI7 after structural relaxation. The functional is PBE-GGA.

Lattice parameters (Å, degrees): 9.5092 9.5092 13.1895 114.65 114.65 39.50
Fractional coordinates of all 12 atoms:
Cs 0.0504 0.0504 0.2354
Cs 0.2303 0.2303 0.8175
Cs 0.7697 0.7697 0.1825
Cs 0.9496 0.9496 0.7646
Sn 0.5000 0.5000 0.5000
I 0.0000 0.0000 0.5000
I 0.1504 0.1504 0.0437
I 0.2652 0.2652 0.5063
I 0.4276 0.4276 0.2412
I 0.5724 0.5724 0.7588
I 0.7348 0.7348 0.4937
I 0.8496 0.8496 0.9563

Output
Its space group is C2/m. The calculation puts the formation energy from raw total energies at -1.09 eV/atom.


[5]
This record from Alexandria via LeMat-Bulk describes Pm5Ga2Pd after structural relaxation. The functional is PBE-GGA.

Lattice parameters (Å, degrees): 9.3270 9.3270 9.3270 132.08 132.08 70.10
Fractional coordinates of all 16 atoms:
Pm 0.0000 0.0000 0.0000
Pm 0.0246 0.5246 0.8468
Pm 0.1778 0.0246 0.5000
Pm 0.3222 0.8222 0.8468
Pm 0.4754 0.3222 0.5000
Pm 0.5000 0.5000 0.0000
Pm 0.5246 0.6778 0.5000
Pm 0.6778 0.1778 0.1532
Pm 0.8222 0.9754 0.5000
Pm 0.9754 0.4754 0.1532
Ga 0.1186 0.3814 0.5000
Ga 0.3814 0.8814 0.2628
Ga 0.6186 0.1186 0.7372
Ga 0.8814 0.6186 0.5000
Pd 0.2500 0.2500 0.0000
Pd 0.7500 0.7500 0.0000

Output
Its space group is I4/mcm. Its formation enthalpy at 0 K is -474 meV/atom.


[6]
This record from Alexandria via LeMat-Bulk describes Ca3Cr3N5 after structural relaxation. The functional is PBE-GGA.

Lattice parameters (Å, degrees): 5.6085 6.8943 8.3310 108.28 104.62 95.25
Fractional coordinates of all 22 atoms:
Ca 0.1531 0.1690 0.2030
Ca 0.1658 0.3707 0.8850
Ca 0.3195 0.9272 0.6152
Ca 0.6805 0.0728 0.3848
Ca 0.8342 0.6293 0.1150
Ca 0.8469 0.8310 0.7970
Cr 0.1990 0.4561 0.5699
Cr 0.3864 0.6205 0.3001
Cr 0.4065 0.8238 0.9677
Cr 0.5935 0.1762 0.0323
Cr 0.6136 0.3795 0.6999
Cr 0.8010 0.5439 0.4301
N 0.1122 0.5667 0.3795
N 0.2544 0.0360 0.9082
N 0.2995 0.7272 0.1237
N 0.3325 0.2126 0.5080
N 0.4574 0.6091 0.7883
N 0.5426 0.3909 0.2117
N 0.6675 0.7874 0.4920
N 0.7005 0.2728 0.8763
N 0.7456 0.9640 0.0918
N 0.8878 0.4333 0.6205

Output
Its space group is P-1. The calculation puts the formation energy from raw total energies at -0.78 eV/atom.


[7]
This record from Alexandria via LeMat-Bulk describes Rb2PmInO4 after structural relaxation. The functional is PBE-GGA.

Lattice parameters (Å, degrees): 6.0548 3.5348 6.8843 90.00 107.44 90.00
Fractional coordinates of all 8 atoms:
Rb 0.0000 0.0000 0.0000
Rb 0.5000 0.5000 0.0000
Pm 0.0000 0.5000 0.5000
In 0.5000 0.0000 0.5000
O 0.2349 0.0000 0.6813
O 0.2852 0.5000 0.3209
O 0.7148 0.5000 0.6791
O 0.7651 0.0000 0.3187

Output
Its space group is P2/m. The calculation puts the formation energy from raw total energies at -1.99 eV/atom.


[8]
This record from Alexandria via LeMat-Bulk describes LaPd8Au4 after structural relaxation. The functional is PBE-GGA.

Lattice parameters (Å, degrees): 7.1024 7.1024 7.1024 98.51 98.51 134.76
Fractional coordinates of all 13 atoms:
La 0.0000 0.0000 0.0000
Pd 0.0000 0.3511 0.3511
Pd 0.0000 0.6489 0.6489
Pd 0.2843 0.5000 0.7843
Pd 0.3511 0.0000 0.3511
Pd 0.5000 0.2843 0.7843
Pd 0.5000 0.7157 0.2157
Pd 0.6489 0.0000 0.6489
Pd 0.7157 0.5000 0.2157
Au 0.0000 0.0000 0.5000
Au 0.0000 0.5000 0.0000
Au 0.5000 0.0000 0.0000
Au 0.5000 0.5000 0.5000

Output
Its space group is I4/mmm. Its formation enthalpy at 0 K is -256 meV/atom.


no.,calculated volume (Å³/cell)
1,116.1
2,612.6
3,355.0
4,680.1
5,438.1
6,290.8
7,140.6
8,234.8